Computed, not measured: a geometry-optimized TaWIO2 structure at the PBE+U level of DFT.

abc: 4.030 4.030 6.142
angles: 90.00 90.00 90.00
Fractional coordinates of all 5 atoms:
I  0.000  0.000  0.500
O  0.000  0.500  0.000
O  0.500  0.000  0.000
W  0.500  0.500  0.500
Ta  0.000  0.000  0.000

Values from the calculation:
* distance to the lowest polymorph of the same formula: 0.0000 eV/atom
* space-group type: No. 123
* crystal system: tetragonal
* spin magnetization: 4.48 Bohr magnetons per cell